Record 1
Compound: CsInBr2
Source: Alexandria
Functional: GGA-PBEsol
Structure: optimized geometry

Structure (POSCAR):
```
CsInBr2
1.0
8.124 0.000 0.000
0.000 8.124 0.000
0.000 0.000 8.124
Cs In Br
4 4 8
Cartesian
0.000 0.000 0.000
0.000 4.062 4.062
4.062 0.000 4.062
4.062 4.062 0.000
0.000 0.000 4.062
0.000 4.062 0.000
4.062 0.000 0.000
4.062 4.062 4.062
2.031 2.031 2.031
2.031 2.031 6.093
2.031 6.093 2.031
2.031 6.093 6.093
6.093 2.031 2.031
6.093 2.031 6.093
6.093 6.093 2.031
6.093 6.093 6.093
```

Properties
Space group = Fm-3m (225)
Energy above the most stable polymorph in this dataset = 0.000 eV per atom

---

Record 2
Compound: CsInBr3
Source: Alexandria
Functional: GGA-PBEsol
Structure: optimized geometry

Structure (POSCAR):
```
CsInBr3
1.0
5.626 0.000 0.000
0.000 5.626 0.000
0.000 0.000 5.626
Cs In Br
1 1 3
Cartesian
0.000 0.000 0.000
2.813 2.813 2.813
0.000 2.813 2.813
2.813 0.000 2.813
2.813 2.813 0.000
```

Properties
Space group = Pm-3m (221)

---

Record 3
Compound: CsInBr2
Source: Alexandria
Functional: GGA-PBEsol
Structure: optimized geometry

Structure (POSCAR):
```
CsInBr2
1.0
7.321 0.000 0.000
0.000 7.321 0.000
0.000 0.000 16.214
Cs In Br
4 4 8
Cartesian
0.000 0.000 0.000
0.000 3.660 4.054
3.660 0.000 12.161
3.660 3.660 8.107
0.000 0.000 8.107
0.000 3.660 12.161
3.660 0.000 4.054
3.660 3.660 0.000
1.505 1.830 10.134
1.830 5.165 14.188
1.830 5.816 6.080
2.156 1.830 2.027
5.165 5.490 2.027
5.490 1.505 6.080
5.490 2.156 14.188
5.816 5.490 10.134
```

Properties
Space group = I-42d (122)
Energy above the most stable polymorph in this dataset = 0.075 eV per atom

---

no.,formation energy from raw total energies (eV per atom),total DFT energy (no corrections) (eV per atom)
1,-1.131,-3.05
2,-1.193,-3.10
3,-1.056,-2.97